! PBE GeBiPd, optimized geometry; values from VASP
&SYSTEM
  ibrav = 0, nat = 6, ntyp = 3
/
ATOMIC_SPECIES
Ge 72.64 Ge.upf
Bi 208.98 Bi.upf
Pd 106.42 Pd.upf
CELL_PARAMETERS angstrom
3.294 0.000 0.000
0.000 6.484 0.000
-0.001 0.000 6.293
ATOMIC_POSITIONS crystal
Ge 0.000 0.213 0.000
Ge 0.000 0.787 0.500
Bi 0.996 0.313 0.498
Bi 0.996 0.687 0.998
Pd 0.499 0.001 0.749
Pd 0.499 0.999 0.249
! crystal system	monoclinic
! energy of formation	-0.4	eV per formula unit
! electronic total energy	-4.700	eV/atom